Compound: Y2Be4ZnIr3
Source: Alexandria via LeMat-Bulk
Functional: PBE-GGA
Structure: relaxed

POSCAR file:
```
Y2Be4ZnIr3
1.0
-3.640 -0.275 -1.477
-0.235 -3.720 1.270
-3.631 3.087 8.371
Y Be Zn Ir
2 4 1 3
Cartesian
-2.705 0.615 1.301
-2.863 0.475 6.967
-1.937 -1.998 -0.104
0.000 0.000 0.000
-4.119 1.817 4.562
-1.449 -0.728 3.706
-3.753 -0.454 4.082
-1.815 1.544 4.186
-4.997 2.564 6.586
-0.571 -1.474 1.682
```

Space-group type: No. 115
Final energy (eV per atom): -6.117
ρ (Mg/m³): 9.5
DOS at the Fermi energy (states/eV per cell): 4.3